Below is an optimized crystal structure of LiInAgF5, with properties calculated at the PBE level.

Its uncorrected energy is -139.74 eV for the cell shown. The calculation puts the uncorrected formation energy at -2259 meV per atom. For the density of states at the Fermi level, the calculation gives 0.00 states/eV/cell.

```
data_LiInAgF5
_chemical_formula_sum 'Li4 In4 Ag4 F20'
_symmetry_space_group_name_H-M 'C 1 2/c 1'
_symmetry_Int_Tables_number 15
_symmetry_space_group_name_Hall '-C 2yc'
_cell_length_a 6.8996
_cell_length_b 9.6630
_cell_length_c 7.9110
_cell_angle_alpha 90.00
_cell_angle_beta 113.02
_cell_angle_gamma 90.00
loop_
_atom_site_label
_atom_site_type_symbol
_atom_site_fract_x
_atom_site_fract_y
_atom_site_fract_z
_atom_site_occupancy
Li1 Li 0.0000 0.1884 0.2500 1
In1 In 0.0000 0.5000 0.0000 1
Ag1 Ag 0.0000 0.1509 0.7500 1
F1 F 0.0000 0.4136 0.7500 1
F2 F 0.1202 0.3104 0.1286 1
F3 F 0.1890 0.0648 0.4226 1
```



Below is an optimized crystal structure of BaPt2Se, with properties calculated at the PBE level.

Its uncorrected energy is -37.07 eV for the cell shown. The calculation puts the uncorrected formation energy at -262 meV per atom. For the density of states at the Fermi level, the calculation gives 1.75 states/eV/cell.

```
data_BaPt2Se
_chemical_formula_sum 'Ba2 Pt4 Se2'
_symmetry_space_group_name_H-M 'I m m m'
_symmetry_Int_Tables_number 71
_symmetry_space_group_name_Hall '-I 2 2'
_cell_length_a 3.5375
_cell_length_b 5.3032
_cell_length_c 9.6912
_cell_angle_alpha 90.00
_cell_angle_beta 90.00
_cell_angle_gamma 90.00
loop_
_atom_site_label
_atom_site_type_symbol
_atom_site_fract_x
_atom_site_fract_y
_atom_site_fract_z
_atom_site_occupancy
Ba1 Ba 0.0000 0.0000 0.0000 1
Pt1 Pt 0.0000 0.5000 0.2071 1
Se1 Se 0.0000 0.0000 0.5000 1
```



Below is an optimized crystal structure of MgAlIn2, with properties calculated at the PBE level.

As for the formation energy: 92.3 meV/atom. Its uncorrected energy is -10.44 eV for the cell shown. For the density of states at the Fermi level, the calculation gives 1.22 states/eV/cell.

```
data_MgAlIn2
_chemical_formula_sum 'Mg1 Al1 In2'
_symmetry_space_group_name_H-M 'P 1 2/m 1'
_symmetry_Int_Tables_number 10
_symmetry_space_group_name_Hall '-P 2y'
_cell_length_a 3.1219
_cell_length_b 5.3604
_cell_length_c 5.6244
_cell_angle_alpha 90.00
_cell_angle_beta 92.88
_cell_angle_gamma 90.00
loop_
_atom_site_label
_atom_site_type_symbol
_atom_site_fract_x
_atom_site_fract_y
_atom_site_fract_z
_atom_site_occupancy
Mg1 Mg 0.0000 0.0000 0.0000 1
Al1 Al 0.5000 0.0000 0.5000 1
In1 In 0.3111 0.5000 0.7437 1
```



Below is an optimized crystal structure of InAgSb3, with properties calculated at the PBE level.

Its relative energy among the computed polymorphs is 0.0000 eV per atom. Its uncorrected energy is -15.13 eV for the cell shown. The calculation puts the uncorrected formation energy at 565 meV per atom. For the density of states at the Fermi level, the calculation gives 7.81 states/eV/cell.

```
data_InAgSb3
_chemical_formula_sum 'In1 Ag1 Sb3'
_symmetry_space_group_name_H-M 'P m -3 m'
_symmetry_Int_Tables_number 221
_symmetry_space_group_name_Hall '-P 4 2 3'
_cell_length_a 5.4404
_cell_length_b 5.4404
_cell_length_c 5.4404
_cell_angle_alpha 90.00
_cell_angle_beta 90.00
_cell_angle_gamma 90.00
loop_
_atom_site_label
_atom_site_type_symbol
_atom_site_fract_x
_atom_site_fract_y
_atom_site_fract_z
_atom_site_occupancy
In1 In 0.0000 0.0000 0.0000 1
Ag1 Ag 0.5000 0.5000 0.5000 1
Sb1 Sb 0.0000 0.5000 0.5000 1
```



- Which of these has the lowest uncorrected energy?
  LiInAgF5